# LiBeCu2 | the Alexandria database | SCAN | PBEsol geometry
# Total moment: 0.000 μB per cell
# Density: 5.78 g/cm3
# D(E_F): 0.27 states/eV per atom
# DFT total energy: -74.76 eV per cell
# Energy of formation from the pure elements: -0.06 eV per atom
data_LiBeCu2
_cell_length_a 5.514
_cell_length_b 5.527
_cell_length_c 2.696
_cell_angle_alpha 90.00
_cell_angle_beta 90.00
_cell_angle_gamma 90.00
_space_group_name_H-M_alt 'C m m m'
_space_group_IT_number 65
_space_group_name_Hall '-C 2 2'
loop_
_atom_site_label
_atom_site_type_symbol
_atom_site_fract_x
_atom_site_fract_y
_atom_site_fract_z
Li1 Li 0.000 0.000 0.000
Be1 Be 0.000 0.500 0.000
Cu1 Cu 0.250 0.250 0.500